# 1
! Ti8HC3N3 (PBE, relaxed); values from VASP
&SYSTEM
  ibrav = 0, nat = 15, ntyp = 4
/
ATOMIC_SPECIES
Ti 47.87 Ti.upf
H 1.01 H.upf
C 12.01 C.upf
N 14.01 N.upf
CELL_PARAMETERS angstrom
3.026 1.747 4.935
-3.026 1.747 4.935
0.000 -3.495 4.935
ATOMIC_POSITIONS crystal
Ti 0.248 0.248 0.248
Ti 0.251 0.251 0.747
Ti 0.251 0.747 0.251
Ti 0.253 0.749 0.749
Ti 0.747 0.251 0.251
Ti 0.749 0.253 0.749
Ti 0.749 0.749 0.253
Ti 0.752 0.752 0.752
H 0.000 0.000 0.000
C 0.000 0.000 0.500
C 0.000 0.500 0.000
C 0.500 0.000 0.000
N 0.000 0.500 0.500
N 0.500 0.000 0.500
N 0.500 0.500 0.000
! Uncorrected energy in eV/atom: -9.005
! Magnetic moment in μB/f.u.: 0.00



# 2
! PuPd6Au3 (PBE, relaxed); values from VASP
&SYSTEM
  ibrav = 0, nat = 20, ntyp = 3
/
ATOMIC_SPECIES
Pu 244.00 Pu.upf
Pd 106.42 Pd.upf
Au 196.97 Au.upf
CELL_PARAMETERS angstrom
5.062 0.000 0.000
0.000 15.098 0.000
0.000 0.000 4.657
ATOMIC_POSITIONS crystal
Pu 0.000 0.000 0.000
Pu 0.500 0.500 0.000
Pd 0.031 0.396 0.000
Pd 0.056 0.208 0.000
Pd 0.127 0.693 0.500
Pd 0.373 0.193 0.500
Pd 0.444 0.708 0.000
Pd 0.469 0.896 0.000
Pd 0.531 0.104 0.000
Pd 0.556 0.292 0.000
Pd 0.627 0.807 0.500
Pd 0.873 0.307 0.500
Pd 0.944 0.792 0.000
Pd 0.969 0.604 0.000
Au 0.000 0.500 0.500
Au 0.120 0.874 0.500
Au 0.380 0.374 0.500
Au 0.500 0.000 0.500
Au 0.620 0.626 0.500
Au 0.880 0.126 0.500
! E above lowest polymorph in meV/atom: 0
! ΔH_f (0 K) in eV per atom: -0.197
! Magnetic moment in μB/f.u.: 4.84



# 3
! KZrS2Cl (PBE, relaxed); values from VASP
&SYSTEM
  ibrav = 0, nat = 5, ntyp = 4
/
ATOMIC_SPECIES
K 39.10 K.upf
Zr 91.22 Zr.upf
S 32.06 S.upf
Cl 35.45 Cl.upf
CELL_PARAMETERS angstrom
5.257 0.000 0.000
0.000 5.257 0.000
0.000 0.000 5.117
ATOMIC_POSITIONS crystal
K 0.000 0.000 0.000
Zr 0.500 0.500 0.500
S 0.000 0.500 0.000
S 0.500 0.000 0.000
Cl 0.000 0.000 0.500
! E above lowest polymorph in meV/atom: 2067
! Magnetic moment in μB/f.u.: 0.01
! Energy relative to the elements, uncorrected in eV per atom: 0.57



# 4
! Li2Cd2Pd3 (PBE, relaxed); values from VASP
&SYSTEM
  ibrav = 0, nat = 7, ntyp = 3
/
ATOMIC_SPECIES
Li 6.94 Li.upf
Cd 112.41 Cd.upf
Pd 106.42 Pd.upf
CELL_PARAMETERS angstrom
6.425 -1.457 0.000
6.425 1.457 0.000
-2.897 0.000 6.081
ATOMIC_POSITIONS crystal
Li 0.084 0.084 0.417
Li 0.916 0.916 0.583
Cd 0.367 0.367 0.173
Cd 0.633 0.633 0.827
Pd 0.000 0.000 0.000
Pd 0.291 0.291 0.713
Pd 0.709 0.709 0.287
! E above lowest polymorph in meV/atom: 48
! ΔH_f (0 K) in eV per atom: -0.330
! Magnetic moment in μB/f.u.: 0.00